VASP calculation (GGA-PBE) on CoAg2Ir after structural relaxation.

Summary:
- Excess energy over the best structure of this formula in the dataset: 0.251 eV per atom
- Formation enthalpy at 0 K: 0.4824 eV per atom
- Spin magnetization: 0.70 μB per atom
- Fermi-level density of states: 3.99 states/eV/f.u.

abc: 4.0299 4.0299 7.5488
angles: 90.00 90.00 90.00
Space group I-4m2 (No. 119)
Inequivalent atoms, fractional coordinates:
Co1 0.0000 0.0000 0.0000
Ag1 0.0000 0.0000 0.5000
Ag2 0.0000 0.5000 0.2500
Ir1 0.0000 0.5000 0.7500